# 1
# V4FeSi2

V4FeSi2 after structural relaxation (GGA-PBE, the Alexandria database).

Formation energy (no corrections) (meV/atom): 444.6
SG: I4/mmm
Total energy (eV per atom): -7.524
Crystal system: tetragonal

Cell and atoms, written as extended XYZ:
```
7
Lattice="-2.064 2.064 6.430 2.064 -2.064 6.430 2.064 2.064 -6.430" Properties=species:S:1:pos:R:3 pbc="T T T"
V 2.064 0.000 0.000
V 0.000 0.000 2.239
V 0.000 2.064 0.000
V 0.000 0.000 10.621
Fe 0.000 0.000 0.000
Si 0.000 0.000 4.706
Si 0.000 0.000 8.154
```

# 2
# Pm2BiC2N6

Pm2BiC2N6 after structural relaxation (GGA-PBE, the Alexandria database).

Formation energy (no corrections) (meV/atom): -329.7
SG: P-1
Total energy (eV per atom): -7.764
Crystal system: triclinic

Cell and atoms, written as extended XYZ:
```
11
Lattice="5.257 0.000 0.000 -1.058 5.298 0.000 -1.510 -2.849 5.561" Properties=species:S:1:pos:R:3 pbc="T T T"
Pm 0.645 -0.365 1.769
Pm 2.044 2.815 3.792
Bi 2.099 2.649 0.000
C -0.764 2.026 1.379
C 3.453 0.424 4.182
N -0.861 -0.444 3.720
N -1.495 1.439 5.025
N 0.525 2.257 1.827
N 2.164 0.192 3.734
N 4.184 1.011 0.536
N 3.550 2.893 1.841
```

# 3
# LiSbAs

LiSbAs after structural relaxation (GGA-PBE, the Alexandria database).

Formation energy (no corrections) (meV/atom): -243.2
SG: Pm
Total energy (eV per atom): -3.805
Crystal system: monoclinic

Cell and atoms, written as extended XYZ:
```
6
Lattice="5.335 0.000 0.000 0.000 3.782 0.000 -0.986 0.000 7.323" Properties=species:S:1:pos:R:3 pbc="T T T"
Li 0.000 0.000 0.000
Li 0.845 0.000 4.055
Sb 2.926 1.891 5.467
Sb 3.407 0.000 2.264
As -0.048 1.891 2.123
As 1.590 0.000 6.799
```

# 4
# AlCdHg2Au

AlCdHg2Au after structural relaxation (GGA-PBE, the Alexandria database).

SG: P4/mmm
Total energy (eV per atom): -1.142
Energy of formation from the pure elements (eV per atom): 0.57
Crystal system: tetragonal

Cell and atoms, written as extended XYZ:
```
5
Lattice="5.434 0.000 0.000 0.000 5.434 0.000 0.000 0.000 5.154" Properties=species:S:1:pos:R:3 pbc="T T T"
Al 0.000 0.000 0.000
Cd 0.000 0.000 2.577
Hg 0.000 2.717 2.577
Hg 2.717 0.000 2.577
Au 2.717 2.717 0.000
```

# 5
# LiUAsS

LiUAsS after structural relaxation (GGA-PBE, the Alexandria database).

Formation energy (no corrections) (meV/atom): -968.8
SG: R3m
Total energy (eV per atom): -6.464
Crystal system: trigonal

Cell and atoms, written as extended XYZ:
```
4
Lattice="2.010 1.161 6.295 -2.010 1.161 6.295 0.000 -2.321 6.295" Properties=species:S:1:pos:R:3 pbc="T T T"
Li 0.000 0.000 0.000
U 0.000 0.000 9.598
As 0.000 0.000 4.913
S 0.000 0.000 14.440
```

# 6
# K3Rb13

K3Rb13 after structural relaxation (GGA-PBE, the Alexandria database).

SG: Amm2
Total energy (eV per atom): -0.985
Energy of formation from the pure elements (eV per atom): 0.01
Crystal system: orthorhombic

Cell and atoms, written as extended XYZ:
```
16
Lattice="13.815 0.000 0.000 0.000 7.106 7.116 0.000 -7.106 7.116" Properties=species:S:1:pos:R:3 pbc="T T T"
K 0.000 0.000 0.000
K 3.422 0.000 3.478
K 10.393 0.000 3.478
Rb 0.000 -3.494 3.502
Rb 0.000 3.494 3.502
Rb 0.000 0.000 7.006
Rb 3.422 -3.583 7.065
Rb 3.422 3.583 7.065
Rb 3.424 0.000 10.650
Rb 6.907 -3.497 3.507
Rb 6.907 0.000 0.008
Rb 6.907 3.497 3.507
Rb 6.907 0.000 7.008
Rb 10.392 -3.583 7.065
Rb 10.392 3.583 7.065
Rb 10.390 0.000 10.650
```

# 7
# Na2As2S5

Na2As2S5 after structural relaxation (GGA-PBE, the Alexandria database).

Formation energy (no corrections) (meV/atom): -344.9
Relative energy among the computed polymorphs (kJ/mol of formula units): 71.9
SG: C2/m
Total energy (eV per atom): -3.964
Crystal system: monoclinic

Cell and atoms, written as extended XYZ:
```
9
Lattice="6.765 -2.567 0.000 6.765 2.567 0.000 -1.658 0.000 6.469" Properties=species:S:1:pos:R:3 pbc="T T T"
Na 1.205 0.000 2.356
Na 10.667 0.000 4.113
As 4.474 0.000 0.800
As 7.397 0.000 5.669
S 0.755 0.000 6.192
S 4.093 0.000 2.929
S 6.765 0.000 0.000
S 7.779 0.000 3.540
S 11.116 0.000 0.276
```

# 8
# Ba2HoHfSe6

Ba2HoHfSe6 after structural relaxation (GGA-PBE, the Alexandria database).

Formation energy (no corrections) (meV/atom): -1603.0
SG: Pmmn
Total energy (eV per atom): -5.531
Crystal system: orthorhombic

Cell and atoms, written as extended XYZ:
```
20
Lattice="7.584 0.000 0.000 0.000 10.715 0.000 0.000 0.000 7.572" Properties=species:S:1:pos:R:3 pbc="T T T"
Ba 1.896 0.017 1.892
Ba 1.896 5.340 1.892
Ba 5.688 5.375 5.680
Ba 5.688 10.697 5.680
Ho 1.896 8.036 5.668
Ho 5.688 2.679 1.904
Hf 1.896 2.679 5.690
Hf 5.688 8.036 1.882
Se 0.041 2.679 3.845
Se 0.050 2.679 7.545
Se 1.896 0.062 5.678
Se 1.896 5.295 5.678
Se 3.741 2.679 7.545
Se 3.751 2.679 3.845
Se 3.832 8.036 3.728
Se 3.842 8.036 0.027
Se 5.688 5.419 1.894
Se 5.688 10.652 1.894
Se 7.533 8.036 0.027
Se 7.543 8.036 3.728
```

# 9
# KRbB2S

KRbB2S after structural relaxation (GGA-PBE, the Alexandria database).

Formation energy (no corrections) (meV/atom): 2188.1
SG: P4/mmm
Total energy (eV per atom): -1.721
Crystal system: tetragonal

Cell and atoms, written as extended XYZ:
```
5
Lattice="5.306 0.000 0.000 0.000 5.306 0.000 0.000 0.000 6.551" Properties=species:S:1:pos:R:3 pbc="T T T"
K 0.000 0.000 0.000
Rb 0.000 0.000 3.276
B 0.000 2.653 3.276
B 2.653 0.000 3.276
S 2.653 2.653 0.000
```

# 10
# RbGaTe2

RbGaTe2 after structural relaxation (GGA-PBE, the Alexandria database).

Formation energy (no corrections) (meV/atom): -630.5
SG: P1
Total energy (eV per atom): -3.200
Crystal system: triclinic

Cell and atoms, written as extended XYZ:
```
8
Lattice="4.415 0.000 0.000 2.002 7.128 0.000 0.772 0.631 10.026" Properties=species:S:1:pos:R:3 pbc="T T T"
Rb 0.000 0.000 0.000
Rb 2.823 4.173 6.789
Ga 2.348 0.523 4.609
Ga 4.351 3.675 2.038
Te 2.210 1.978 2.360
Te 5.012 4.894 9.596
Te 5.199 5.228 3.972
Te 4.594 0.920 6.162
```

# 11
# Sr2LiSi

Sr2LiSi after structural relaxation (GGA-PBE, the Alexandria database).

Formation energy (no corrections) (meV/atom): 76.6
SG: F-43m
Total energy (eV per atom): -2.598
Crystal system: cubic

Cell and atoms, written as extended XYZ:
```
4
Lattice="0.000 3.815 3.815 3.815 0.000 3.815 3.815 3.815 0.000" Properties=species:S:1:pos:R:3 pbc="T T T"
Sr 0.000 0.000 0.000
Sr 1.908 1.908 1.908
Li 3.815 3.815 3.815
Si 5.723 5.723 5.723
```

# 12
# Ba4Sr6Br19

Ba4Sr6Br19 after structural relaxation (GGA-PBE, the Alexandria database).

Formation energy (no corrections) (meV/atom): -2035.4
SG: I23
Total energy (eV per atom): -3.745
Crystal system: cubic

Cell and atoms, written as extended XYZ:
```
29
Lattice="-6.707 6.707 6.707 6.707 -6.707 6.707 6.707 6.707 -6.707" Properties=species:S:1:pos:R:3 pbc="T T T"
Ba 4.777 4.777 -4.777
Ba 4.777 -4.777 4.777
Ba 1.930 1.930 1.930
Ba -4.777 4.777 4.777
Sr 6.707 0.000 2.141
Sr 6.707 4.566 0.000
Sr 2.141 6.707 0.000
Sr 4.566 0.000 6.707
Sr 0.000 2.141 6.707
Sr 0.000 6.707 4.566
Br 0.000 0.000 0.000
Br 4.315 0.000 0.000
Br 9.100 0.000 0.000
Br 5.794 2.888 -2.382
Br 9.089 -0.913 3.819
Br 2.888 -2.382 5.794
Br 0.000 4.315 0.000
Br 0.000 0.000 4.315
Br 4.325 0.913 3.819
Br 3.819 4.325 0.913
Br 7.620 2.888 2.382
Br 0.913 3.819 4.325
Br 3.819 9.089 -0.913
Br -2.382 5.794 2.888
Br 0.000 9.100 0.000
Br 0.000 0.000 9.100
Br 2.888 2.382 7.620
Br 2.382 7.620 2.888
Br -0.913 3.819 9.089
```

# 13
# Ca3Tb2SmSe6

Ca3Tb2SmSe6 after structural relaxation (GGA-PBE, the Alexandria database).

Formation energy (no corrections) (meV/atom): -1888.4
SG: C2/m
Total energy (eV per atom): -5.296
Crystal system: monoclinic

Cell and atoms, written as extended XYZ:
```
12
Lattice="3.580 -6.193 0.000 3.580 6.193 0.000 -2.390 0.000 6.875" Properties=species:S:1:pos:R:3 pbc="T T T"
Ca 0.000 0.000 0.000
Ca 3.580 2.049 0.000
Ca 3.580 -2.049 0.000
Tb 2.385 4.125 3.437
Tb 2.385 -4.125 3.437
Sm 2.385 0.000 3.437
Se 1.177 2.090 1.725
Se -0.034 0.000 5.146
Se 1.177 -2.090 1.725
Se 3.592 2.090 5.150
Se 4.803 0.000 1.729
Se 3.592 -2.090 5.150
```

# 14
# Y2Si2Ge

Y2Si2Ge after structural relaxation (GGA-PBE, the Alexandria database).

Formation energy (no corrections) (meV/atom): -522.0
Relative energy among the computed polymorphs (kJ/mol of formula units): 92.2
SG: I4/mmm
Total energy (eV per atom): -6.200
Crystal system: tetragonal

Cell and atoms, written as extended XYZ:
```
5
Lattice="-1.795 1.795 8.433 1.795 -1.795 8.433 1.795 1.795 -8.433" Properties=species:S:1:pos:R:3 pbc="T T T"
Y 0.000 0.000 1.837
Y 0.000 0.000 15.029
Si 1.795 0.000 4.216
Si 0.000 1.795 4.216
Ge 0.000 0.000 8.433
```

# 15
# HfNb2Os

HfNb2Os after structural relaxation (GGA-PBE, the Alexandria database).

Relative energy among the computed polymorphs (kJ/mol of formula units): 41.2
SG: P4/mmm
Total energy (eV per atom): -10.472
Energy of formation from the pure elements (eV per atom): -0.14
Crystal system: tetragonal

Cell and atoms, written as extended XYZ:
```
4
Lattice="3.223 0.000 0.000 0.000 3.223 0.000 0.000 0.000 6.919" Properties=species:S:1:pos:R:3 pbc="T T T"
Hf 0.000 0.000 0.000
Nb 1.611 1.611 1.866
Nb 1.611 1.611 5.053
Os 0.000 0.000 3.460
```

# 16
# ThCd2In

ThCd2In after structural relaxation (GGA-PBE, the Alexandria database).

Relative energy among the computed polymorphs (kJ/mol of formula units): 20.0
SG: Cmcm
Total energy (eV per atom): -3.145
Energy of formation from the pure elements (eV per atom): -0.15
Crystal system: orthorhombic

Cell and atoms, written as extended XYZ:
```
16
Lattice="2.348 -8.842 0.000 2.348 8.842 0.000 0.000 0.000 10.013" Properties=species:S:1:pos:R:3 pbc="T T T"
Th 0.000 0.000 0.000
Th 0.000 0.000 5.006
Th 2.348 5.470 7.509
Th 2.348 -5.470 2.503
Cd 2.348 5.434 1.061
Cd 2.348 5.434 3.945
Cd 2.348 1.966 7.509
Cd 2.348 0.737 2.503
Cd 2.348 -0.737 7.509
Cd 2.348 -1.966 2.503
Cd 2.348 -5.434 6.068
Cd 2.348 -5.434 8.951
In 2.348 2.521 0.335
In 2.348 2.521 4.672
In 2.348 -2.521 5.341
In 2.348 -2.521 9.678
```

# 17
# Nd7Pt2Rh2

Nd7Pt2Rh2 after structural relaxation (GGA-PBE, the Alexandria database).

Relative energy among the computed polymorphs (kJ/mol of formula units): 183.2
SG: Cmmm
Total energy (eV per atom): -5.986
Energy of formation from the pure elements (eV per atom): -0.52
Crystal system: orthorhombic

Cell and atoms, written as extended XYZ:
```
11
Lattice="4.216 -5.426 0.000 4.216 5.426 0.000 0.000 0.000 7.074" Properties=species:S:1:pos:R:3 pbc="T T T"
Nd 0.000 0.000 0.000
Nd 2.108 2.713 1.860
Nd 2.108 2.713 5.215
Nd 2.108 -2.713 1.860
Nd 2.108 -2.713 5.215
Nd 4.216 0.000 1.789
Nd 4.216 0.000 5.285
Pt 1.872 0.000 3.537
Pt 6.560 0.000 3.537
Rh 4.216 2.391 0.000
Rh 4.216 -2.391 0.000
```

# 18
# Pt2Au

Pt2Au after structural relaxation (GGA-PBE, the Alexandria database).

Relative energy among the computed polymorphs (kJ/mol of formula units): 46.8
SG: Imma
Total energy (eV per atom): -4.918
Energy of formation from the pure elements (eV per atom): 0.20
Crystal system: orthorhombic

Cell and atoms, written as extended XYZ:
```
6
Lattice="-1.368 2.270 8.760 1.368 -2.270 8.760 1.368 2.270 -8.760" Properties=species:S:1:pos:R:3 pbc="T T T"
Pt 0.000 1.135 0.638
Pt 0.000 1.135 3.268
Pt 1.368 1.135 5.492
Pt 1.368 1.135 8.122
Au 1.368 1.135 -2.095
Au 0.000 1.135 10.855
```

# 19
# AgSnB

AgSnB after structural relaxation (GGA-PBE, the Alexandria database).

SG: P1
Total energy (eV per atom): -4.208
Energy of formation from the pure elements (eV per atom): 0.30
Crystal system: triclinic

Cell and atoms, written as extended XYZ:
```
6
Lattice="3.154 0.000 0.000 -1.577 6.036 0.000 -0.008 -3.092 5.875" Properties=species:S:1:pos:R:3 pbc="T T T"
Ag 0.000 0.000 0.000
Ag 0.002 -0.169 2.857
Sn 1.572 -0.748 5.281
Sn 1.583 2.316 3.080
B 0.001 4.311 1.263
B 1.578 3.981 1.239
```

# 20
# Mn4Co

Mn4Co after structural relaxation (GGA-PBE, the Alexandria database).

Relative energy among the computed polymorphs (kJ/mol of formula units): 409.6
SG: Im-3m
Total energy (eV per atom): -7.824
Energy of formation from the pure elements (eV per atom): 0.93
Crystal system: cubic

Cell and atoms, written as extended XYZ:
```
5
Lattice="-2.782 2.782 2.782 2.782 -2.782 2.782 2.782 2.782 -2.782" Properties=species:S:1:pos:R:3 pbc="T T T"
Mn 1.391 1.391 -1.391
Mn 1.391 -1.391 1.391
Mn -1.391 1.391 1.391
Mn 1.391 1.391 1.391
Co 0.000 0.000 0.000
```

# 21
# La4Ge2PCl

La4Ge2PCl after structural relaxation (GGA-PBE, the Alexandria database).

Formation energy (no corrections) (meV/atom): -1294.6
SG: I4/mmm
Total energy (eV per atom): -5.820
Crystal system: tetragonal

Cell and atoms, written as extended XYZ:
```
8
Lattice="-3.061 3.061 6.130 3.061 -3.061 6.130 3.061 3.061 -6.130" Properties=species:S:1:pos:R:3 pbc="T T T"
La 3.061 0.000 0.000
La 0.000 0.000 2.953
La 0.000 3.061 0.000
La 0.000 0.000 9.307
Ge 3.061 0.000 3.065
Ge 0.000 3.061 3.065
P 0.000 0.000 0.000
Cl 0.000 0.000 6.130
```

# 22
# BeZnMo2

BeZnMo2 after structural relaxation (GGA-PBE, the Alexandria database).

Relative energy among the computed polymorphs (kJ/mol of formula units): 65.4
SG: F-43m
Total energy (eV per atom): -6.413
Energy of formation from the pure elements (eV per atom): 0.25
Crystal system: cubic

Cell and atoms, written as extended XYZ:
```
4
Lattice="0.000 3.042 3.042 3.042 0.000 3.042 3.042 3.042 0.000" Properties=species:S:1:pos:R:3 pbc="T T T"
Be 0.000 0.000 0.000
Zn 4.563 4.563 4.563
Mo 1.521 1.521 1.521
Mo 3.042 3.042 3.042
```

# 23
# CsRbTeSe3

CsRbTeSe3 after structural relaxation (GGA-PBE, the Alexandria database).

Formation energy (no corrections) (meV/atom): -709.7
SG: C2/m
Total energy (eV per atom): -3.279
Crystal system: monoclinic

Cell and atoms, written as extended XYZ:
```
12
Lattice="5.570 -4.359 0.000 5.570 4.359 0.000 -3.557 0.000 11.075" Properties=species:S:1:pos:R:3 pbc="T T T"
Cs 1.721 0.000 1.096
Cs 5.861 0.000 9.978
Rb 3.791 2.227 5.537
Rb 3.791 -2.227 5.537
Te 1.595 0.000 8.667
Te 5.988 0.000 2.407
Se 4.508 2.030 2.104
Se 1.099 0.000 6.194
Se 3.075 2.030 8.970
Se 4.508 -2.030 2.104
Se 6.483 0.000 4.881
Se 3.075 -2.030 8.970
```

| no. | total moment (μB per formula unit) |
| --- | --- |
| 1 | 1.4 |
| 2 | 0.0 |
| 3 | 0.0 |
| 4 | 0.0 |
| 5 | 2.0 |
| 6 | 0.0 |
| 7 | 0.0 |
| 8 | 0.0 |
| 9 | 1.8 |
| 10 | 0.0 |
| 11 | 0.0 |
| 12 | 0.0 |
| 13 | 0.0 |
| 14 | 0.0 |
| 15 | 0.0 |
| 16 | 0.0 |
| 17 | 0.0 |
| 18 | 0.0 |
| 19 | 0.0 |
| 20 | 16.6 |
| 21 | 0.0 |
| 22 | 0.0 |
| 23 | 0.0 |